[1]
Below is a relaxed structure of BaSbTe2H, with properties calculated at the PBEsol level.

density of states at the Fermi level = 6.58 states/eV per cell
VASP energy = -12.2 eV for the cell shown
space group = P4/mmm

Cell: 6.5038 6.5038 6.6028 Å, 90.00 90.00 90.00°
Closest atoms and distances in Å follow each position.
Fractional positions:
Sb: 0.0000 0.0000 0.5000  2 Ba 3.30
Te: 0.0000 0.5000 0.0000  2 Ba 3.25
Te: 0.5000 0.0000 0.0000  2 Ba 3.25
Ba: 0.0000 0.0000 0.0000  4 Te 3.25, 2 Sb 3.30
H: 0.5000 0.5000 0.5000  4 Sb 4.60, 8 Te 4.63

[2]
Below is a relaxed structure of BaSb2TeH, with properties calculated at the PBEsol level.

density of states at the Fermi level = 3.02 states/eV per cell
VASP energy = -19.3 eV for the cell shown
space group = P4/mmm

Cell: 4.7064 4.7064 5.6711 Å, 90.00 90.00 90.00°
Closest atoms and distances in Å follow each position.
Fractional positions:
Sb: 0.0000 0.5000 0.0000  2 H 2.35
Sb: 0.5000 0.0000 0.0000  2 H 2.35
Te: 0.0000 0.0000 0.5000  2 H 2.84
Ba: 0.5000 0.5000 0.5000  4 Te 3.33, 8 Sb 3.68
H: 0.0000 0.0000 0.0000  4 Sb 2.35

[3]
Below is a relaxed structure of BaSnH3, with properties calculated at the PBEsol level.

density of states at the Fermi level = 1.97 states/eV per cell
VASP energy = -16.5 eV for the cell shown
space group = Pm-3m

Cell: 4.2808 4.2808 4.2808 Å, 90.00 90.00 90.00°
Closest atoms and distances in Å follow each position.
Fractional positions:
H: 0.0000 0.5000 0.0000  2 Sn 2.14
H: 0.0000 0.0000 0.5000  2 Sn 2.14
H: 0.5000 0.0000 0.0000  2 Sn 2.14
Ba: 0.5000 0.5000 0.5000  12 H 3.03
Sn: 0.0000 0.0000 0.0000  6 H 2.14

[4]
Below is a relaxed structure of Ba2SrH2, with properties calculated at the PBEsol level.

density of states at the Fermi level = 4.79 states/eV per cell
VASP energy = -14.0 eV for the cell shown
space group = I4/mmm

Cell: 4.3292 4.3292 10.0338 Å, 102.46 102.46 90.00°
Closest atoms and distances in Å follow each position.
Fractional positions:
Sr: 0.0000 0.0000 0.0000  4 Sr 4.33, 8 Ba 4.55
Ba: 0.3239 0.3239 0.6477  4 H 2.58
Ba: 0.6761 0.6761 0.3523  4 H 2.58
H: 0.2500 0.7500 0.5000  4 Ba 2.58
H: 0.7500 0.2500 0.5000  4 Ba 2.58

[5]
Below is a relaxed structure of Ba2SrH, with properties calculated at the PBEsol level.

density of states at the Fermi level = 9.89 states/eV per cell
VASP energy = -19.7 eV for the cell shown
space group = I-42d

Cell: 7.7603 7.7603 7.7603 Å, 98.45 115.25 115.25°
Closest atoms and distances in Å follow each position.
Fractional positions:
Sr: 0.0000 0.0000 0.0000  8 Ba 4.19-4.40
Sr: 0.5000 0.7500 0.2500  8 Ba 4.19-4.40
Ba: 0.8402 0.4652 0.1250  2 H 2.55
Ba: 0.1598 0.2848 0.6250  2 H 2.55
Ba: 0.6598 0.3750 0.5348  2 H 2.55
Ba: 0.3402 0.8750 0.7152  2 H 2.55
H: 0.0000 0.5000 0.5000  4 Ba 2.55
H: 0.5000 0.2500 0.7500  4 Ba 2.55

[6]
Below is a relaxed structure of BaSr2H2, with properties calculated at the PBEsol level.

density of states at the Fermi level = 4.20 states/eV per cell
VASP energy = -13.9 eV for the cell shown
space group = I4/mmm

Cell: 4.0726 4.0726 10.0566 Å, 101.68 101.68 90.00°
Closest atoms and distances in Å follow each position.
Fractional positions:
Sr: 0.3198 0.3198 0.6397  4 H 2.44
Sr: 0.6802 0.6802 0.3603  4 H 2.44
Ba: 0.0000 0.0000 0.0000  4 Ba 4.07, 8 Sr 4.51
H: 0.2500 0.7500 0.5000  4 Sr 2.44
H: 0.7500 0.2500 0.5000  4 Sr 2.44

[7]
Below is a relaxed structure of BaTe3H, with properties calculated at the PBEsol level.

density of states at the Fermi level = 4.67 states/eV per cell
VASP energy = -12.1 eV for the cell shown
space group = Pm-3m

Cell: 6.7000 6.7000 6.7000 Å, 90.00 90.00 90.00°
Closest atoms and distances in Å follow each position.
Fractional positions:
H: 0.5000 0.5000 0.5000  12 Te 4.74
Te: 0.0000 0.5000 0.0000  2 Ba 3.35
Te: 0.0000 0.0000 0.5000  2 Ba 3.35
Te: 0.5000 0.0000 0.0000  2 Ba 3.35
Ba: 0.0000 0.0000 0.0000  6 Te 3.35

[8]
Below is a relaxed structure of Ba3TlH, with properties calculated at the PBEsol level.

density of states at the Fermi level = 3.97 states/eV per cell
VASP energy = -13.9 eV for the cell shown
space group = Pm-3m

Cell: 5.5122 5.5122 5.5122 Å, 90.00 90.00 90.00°
Closest atoms and distances in Å follow each position.
Fractional positions:
H: 0.0000 0.0000 0.0000  6 Ba 2.76
Tl: 0.5000 0.5000 0.5000  12 Ba 3.90
Ba: 0.0000 0.5000 0.0000  2 H 2.76
Ba: 0.0000 0.0000 0.5000  2 H 2.76
Ba: 0.5000 0.0000 0.0000  2 H 2.76